The following is a DFT calculation (PBE) of SrCa2Pr after structural relaxation.

* magnetic moment: 0.0 Bohr magnetons per cell
* DFT formation energy: 0.40 eV per formula unit
* distance to the lowest polymorph of the same formula: 37 meV/atom
* density of states at the Fermi level: 6.18 states/eV/f.u.
* density: 3.04 Mg/m³

The structure in extended XYZ format:
```
4
Lattice="-0.685 -1.029 6.079 2.947 -4.748 2.693 4.720 1.078 3.879" Properties=species:S:1:pos:R:3 pbc="T T T"
Ca 1.746 -1.175 3.163
Pr 0.000 0.000 0.000
Ca 5.237 -3.525 9.489
Sr 3.491 -2.350 6.326
```

---

The following is a DFT calculation (PBE) of Sc3MoPt after structural relaxation.

* magnetic moment: 2.7 Bohr magnetons per cell
* DFT formation energy: 1.49 eV per formula unit
* distance to the lowest polymorph of the same formula: 0 meV/atom
* density of states at the Fermi level: 6.36 states/eV/f.u.
* density: 5.60 Mg/m³

The structure in extended XYZ format:
```
5
Lattice="5.017 0.000 0.000 0.000 5.017 0.000 0.000 0.000 5.017" Properties=species:S:1:pos:R:3 pbc="T T T"
Sc 0.000 0.000 2.509
Sc 2.509 0.000 0.000
Mo 2.509 2.509 2.509
Sc 0.000 2.509 0.000
Pt 0.000 0.000 0.000
```

---

The following is a DFT calculation (PBE) of SrYInI6 after structural relaxation.

* magnetic moment: 0.0 Bohr magnetons per cell
* uncorrected formation energy: -1289 meV/atom
* density of states at the Fermi level: 0.00 states/eV/f.u.
* density: 4.03 Mg/m³

The structure in extended XYZ format:
```
18
Lattice="8.168 0.000 0.000 -4.084 7.073 0.000 0.000 0.000 15.014" Properties=species:S:1:pos:R:3 pbc="T T T"
I 5.409 4.451 5.541
I 2.475 4.615 9.473
I 2.759 4.451 1.966
I -1.325 2.623 9.473
I -1.150 6.909 9.473
I 1.150 6.909 13.048
Sr 0.000 4.716 3.754
Sr 4.084 2.358 11.261
I -2.475 4.615 13.048
I 1.325 2.623 13.048
I 1.609 2.459 5.541
I 2.934 0.164 1.966
Y 0.000 4.716 11.261
In 0.000 0.000 0.000
In 0.000 0.000 7.507
I 5.234 0.164 5.541
Y 4.084 2.358 3.754
I 6.559 2.459 1.966
```

---

The following is a DFT calculation (PBE) of CaCeIn after structural relaxation.

* magnetic moment: 1.2 Bohr magnetons per cell
* DFT formation energy: -0.29 eV per formula unit
* distance to the lowest polymorph of the same formula: 198 meV/atom
* density of states at the Fermi level: 8.25 states/eV/f.u.
* density: 5.38 Mg/m³

The structure in extended XYZ format:
```
3
Lattice="3.577 0.000 0.000 0.000 5.419 0.000 0.000 -2.710 4.693" Properties=species:S:1:pos:R:3 pbc="T T T"
Ce 3.488 0.000 0.000
Ca 1.387 0.000 3.129
In 2.280 2.710 1.564
```

---

The following is a DFT calculation (PBE) of K2Hg3Au after structural relaxation.

* magnetic moment: 0.0 Bohr magnetons per cell
* DFT formation energy: -1.69 eV per formula unit
* distance to the lowest polymorph of the same formula: 0 meV/atom
* density of states at the Fermi level: 2.57 states/eV/f.u.
* density: 7.88 Mg/m³

The structure in extended XYZ format:
```
6
Lattice="-4.573 -1.914 1.589 -0.377 -6.451 -0.329 0.014 -1.903 6.276" Properties=species:S:1:pos:R:3 pbc="T T T"
Hg -1.023 -6.994 5.691
K -2.565 -3.682 5.240
Hg -4.117 -6.843 5.495
Hg -3.853 -3.301 1.991
Au -0.903 -3.374 1.866
K -2.351 -6.612 2.326
```

---

The following is a DFT calculation (PBE) of ZrCu2Si after structural relaxation.

* magnetic moment: 0.0 Bohr magnetons per cell
* uncorrected formation energy: -290 meV/atom
* density of states at the Fermi level: 2.41 states/eV/f.u.
* density: 6.74 Mg/m³

The structure in extended XYZ format:
```
4
Lattice="-2.584 1.545 -2.361 -1.277 -3.496 -0.890 -2.725 0.202 3.115" Properties=species:S:1:pos:R:3 pbc="T T T"
Zr -2.001 -1.647 1.112
Si -2.655 0.874 0.377
Cu -1.931 -0.975 -1.626
Cu 0.000 0.000 0.000
```